Record 1
Tb4Pr2Y5: relaxed, PBE.

Cell: 6.7161 8.9747 10.3730 Å, 39.79 71.11 68.03°
With the nearest neighbours (Å) after each atom.
Element x y z (fractional)
1 Tb 0.4135 0.7687 0.4043  2 Tb 3.33-3.34, 6 Y 3.68-3.73
2 Tb 0.2445 0.3137 0.1973  4 Y 3.29-3.50, 1 Tb 3.33, 4 Pr 3.36-3.57
3 Tb 0.5865 0.2313 0.5957  2 Tb 3.33-3.34, 6 Y 3.68-3.73
4 Tb 0.7555 0.6863 0.8027  4 Y 3.29-3.50, 1 Tb 3.33, 4 Pr 3.36-3.57
5 Y 0.8278 0.7287 0.0928  4 Y 3.21-3.51, 2 Tb 3.29-3.50, 1 Pr 3.44
6 Y 0.0000 0.5000 0.5000  4 Y 3.38, 4 Tb 3.75
7 Y 0.3506 0.7287 0.0928  4 Y 3.21-3.51, 2 Tb 3.29-3.50, 1 Pr 3.44
8 Y 0.1722 0.2713 0.9072  4 Y 3.21-3.51, 2 Tb 3.29-3.50, 1 Pr 3.44
9 Y 0.6494 0.2713 0.9072  4 Y 3.21-3.51, 2 Tb 3.29-3.50, 1 Pr 3.44
10 Pr 0.2012 0.8944 0.7033  4 Tb 3.36-3.57, 2 Y 3.44
11 Pr 0.7988 0.1056 0.2967  4 Tb 3.36-3.57, 2 Y 3.44

Results
- ΔH_f (0 K): 0.16 eV per atom
- Energy above the lowest structure with this stoichiometry: 9 meV/atom
- E_tot: -5.33 eV per atom
- Space group: C2/m

Record 2
V2P: relaxed, PBE.

Cell: 3.2681 6.1828 7.5593 Å, 90.00 90.00 90.00°
With the nearest neighbours (Å) after each atom.
Element x y z (fractional)
1 V 0.7500 0.6392 0.4410  4 P 2.33-2.47, 2 V 2.54
2 V 0.2500 0.3608 0.5590  4 P 2.33-2.47, 2 V 2.54
3 V 0.7500 0.1392 0.0590  4 P 2.33-2.47, 2 V 2.54
4 V 0.7500 0.5404 0.8332  5 P 2.45-2.68, 2 V 2.69
5 V 0.2500 0.4596 0.1668  5 P 2.45-2.68, 2 V 2.69
6 V 0.2500 0.9596 0.3332  5 P 2.45-2.68, 2 V 2.69
7 V 0.2500 0.8608 0.9410  4 P 2.33-2.47, 2 V 2.54
8 V 0.7500 0.0404 0.6668  5 P 2.45-2.68, 2 V 2.69
9 P 0.7500 0.2525 0.3578  8 V 2.33-2.53
10 P 0.7500 0.7525 0.1422  8 V 2.33-2.53
11 P 0.2500 0.7475 0.6422  8 V 2.33-2.53
12 P 0.2500 0.2475 0.8578  8 V 2.33-2.53

Results
- ΔH_f (0 K): -0.79 eV per atom
- E_tot: -8.67 eV per atom
- Space group: Pnma

Record 3
Zr3Ti: relaxed, PBE.

Cell: 4.6267 6.1944 6.1944 Å, 100.74 90.00 90.00°
With the nearest neighbours (Å) after each atom.
Element x y z (fractional)
1 Zr 0.7500 0.3311 0.1001  4 Ti 2.92-3.23, 6 Zr 3.05-3.23
2 Zr 0.7500 0.3809 0.6191  10 Zr 3.05-3.24, 2 Ti 3.05
3 Zr 0.7500 0.8999 0.6689  4 Ti 2.92-3.23, 6 Zr 3.05-3.23
4 Zr 0.2500 0.1001 0.3311  4 Ti 2.92-3.23, 6 Zr 3.05-3.23
5 Zr 0.2500 0.6689 0.8999  4 Ti 2.92-3.23, 6 Zr 3.05-3.23
6 Zr 0.2500 0.6191 0.3809  10 Zr 3.05-3.24, 2 Ti 3.05
7 Ti 0.2500 0.1719 0.8281  10 Zr 2.92-3.23
8 Ti 0.7500 0.8281 0.1719  10 Zr 2.92-3.23

Results
- ΔH_f (0 K): 0.05 eV per atom
- Energy above the lowest structure with this stoichiometry: 3 meV/atom
- E_tot: -8.34 eV per atom
- Space group: Cmcm

Record 4
Ti6Ni3Ir: relaxed, PBE.

Cell: 7.0704 4.9246 9.3438 Å, 90.00 64.70 90.00°
With the nearest neighbours (Å) after each atom.
Element x y z (fractional)
1 Ti 0.7925 0.4759 0.6393  3 Ni 2.52-2.78
2 Ti 0.7075 0.9759 0.8607  3 Ni 2.52-2.78
3 Ti 0.8896 0.4600 0.9118  3 Ni 2.44-2.55, 1 Ir 2.64, 2 Ti 2.68-2.72
4 Ti 0.6456 0.6925 0.1948  4 Ni 2.47-2.63, 2 Ti 2.68-2.72, 1 Ir 2.75
5 Ti 0.3544 0.3075 0.8052  4 Ni 2.47-2.63, 2 Ti 2.68-2.72, 1 Ir 2.75
6 Ti 0.1456 0.8075 0.6948  4 Ni 2.47-2.63, 2 Ti 2.68-2.72, 1 Ir 2.75
7 Ti 0.3896 0.0400 0.4118  3 Ni 2.44-2.55, 1 Ir 2.64, 2 Ti 2.68-2.72
8 Ti 0.2075 0.5241 0.3607  3 Ni 2.52-2.78
9 Ti 0.1104 0.5400 0.0882  3 Ni 2.44-2.55, 1 Ir 2.64, 2 Ti 2.68-2.72
10 Ti 0.2925 0.0241 0.1393  3 Ni 2.52-2.78
11 Ti 0.8544 0.1925 0.3052  4 Ni 2.47-2.63, 2 Ti 2.68-2.72, 1 Ir 2.75
12 Ti 0.6104 0.9600 0.5882  3 Ni 2.44-2.55, 1 Ir 2.64, 2 Ti 2.68-2.72
13 Ni 0.5000 0.5000 0.0000  2 Ni 2.41, 4 Ti 2.52-2.62
14 Ni 0.0000 0.0000 0.5000  2 Ni 2.41, 4 Ti 2.52-2.62
15 Ni 0.1217 0.2967 0.6482  1 Ni 2.41, 6 Ti 2.44-2.63, 1 Ir 2.63
16 Ni 0.8783 0.7033 0.3518  1 Ni 2.41, 6 Ti 2.44-2.63, 1 Ir 2.63
17 Ni 0.6217 0.2033 0.1482  1 Ni 2.41, 6 Ti 2.44-2.63, 1 Ir 2.63
18 Ni 0.3783 0.7967 0.8518  1 Ni 2.41, 6 Ti 2.44-2.63, 1 Ir 2.63
19 Ir 0.5000 0.5000 0.5000  2 Ni 2.63, 8 Ti 2.64-2.88
20 Ir 0.0000 0.0000 0.0000  2 Ni 2.63, 8 Ti 2.64-2.88

Results
- ΔH_f (0 K): -0.37 eV per atom
- E_tot: -7.73 eV per atom
- Space group: P2_1/c